# 1
Dy5AlHg2 after structural relaxation, computed with PBE.

## Properties
The total energy comes out at -3.734 eV per atom. The crystal system is tetragonal.

Cell: 8.704 8.704 8.704 Å, 123.71 123.71 83.69°
Fractional coordinates of all 16 atoms:
Dy  0.000  0.000  0.000
Dy  0.004  0.504  0.812
Dy  0.192  0.004  0.500
Dy  0.308  0.808  0.812
Dy  0.496  0.308  0.500
Dy  0.500  0.500  0.000
Dy  0.504  0.692  0.500
Dy  0.692  0.192  0.188
Dy  0.808  0.996  0.500
Dy  0.996  0.496  0.188
Al  0.250  0.250  0.000
Al  0.750  0.750  0.000
Hg  0.138  0.362  0.500
Hg  0.362  0.862  0.224
Hg  0.638  0.138  0.776
Hg  0.862  0.638  0.500


# 2
PrZn2Au3 after structural relaxation, computed with PBE.

## Properties
The total energy comes out at -3.355 eV per atom. The crystal system is hexagonal.

Cell: 4.562 4.562 13.392 Å, 90.00 90.00 120.00°
Fractional coordinates of all 12 atoms:
Pr  0.000  0.000  0.250
Pr  0.000  0.000  0.750
Zn  0.333  0.667  0.085
Zn  0.333  0.667  0.415
Zn  0.667  0.333  0.585
Zn  0.667  0.333  0.915
Au  0.000  0.000  0.000
Au  0.000  0.000  0.500
Au  0.333  0.667  0.622
Au  0.333  0.667  0.878
Au  0.667  0.333  0.122
Au  0.667  0.333  0.378


# 3
VNiW after structural relaxation, computed with PBE.

## Properties
The total energy comes out at -9.153 eV per atom. The crystal system is tetragonal. As for the offset from the most stable computed form: 0 meV per atom.

Cell: 4.713 4.713 4.713 Å, 141.15 141.15 56.11°
Fractional coordinates of all 3 atoms:
V  0.000  0.000  0.000
Ni  0.659  0.659  0.000
W  0.330  0.330  0.000


# 4
MgFeSiMo2 after structural relaxation, computed with PBE.

## Properties
The total energy comes out at -6.420 eV per atom. The crystal system is tetragonal.

Cell: 4.422 4.422 4.541 Å, 90.00 90.00 90.00°
Fractional coordinates of all 5 atoms:
Mg  0.000  0.000  0.000
Fe  0.000  0.000  0.500
Si  0.500  0.500  0.000
Mo  0.000  0.500  0.500
Mo  0.500  0.000  0.500


# 5
BaSr3Ta after structural relaxation, computed with PBE.

## Properties
The total energy comes out at -2.969 eV per atom. The crystal system is cubic. As for the offset from the most stable computed form: 0 meV per atom.

Cell: 6.205 6.205 6.205 Å, 90.00 90.00 90.00°
Fractional coordinates of all 5 atoms:
Ba  0.000  0.000  0.000
Sr  0.000  0.500  0.500
Sr  0.500  0.000  0.500
Sr  0.500  0.500  0.000
Ta  0.500  0.500  0.500


# 6
CaTbSmLu after structural relaxation, computed with PBE.

## Properties
The total energy comes out at -3.828 eV per atom. The crystal system is cubic.

Cell: 5.738 5.738 5.738 Å, 60.00 60.00 60.00°
Fractional coordinates of all 4 atoms:
Ca  0.000  0.000  0.000
Tb  0.250  0.250  0.250
Sm  0.750  0.750  0.750
Lu  0.500  0.500  0.500


# 7
Sr2Bi2Se3O2 after structural relaxation, computed with PBE.

## Properties
The total energy comes out at -5.026 eV per atom. The crystal system is monoclinic.

Cell: 7.178 7.178 9.681 Å, 122.12 122.12 33.47°
Fractional coordinates of all 9 atoms:
Sr  0.108  0.108  0.397
Sr  0.892  0.892  0.603
Bi  0.310  0.310  0.865
Bi  0.690  0.690  0.135
Se  0.000  0.000  0.000
Se  0.371  0.371  0.280
Se  0.629  0.629  0.720
O  0.312  0.312  0.647
O  0.688  0.688  0.353


# 8
Ti2Ni2Ir after structural relaxation, computed with PBE.

## Properties
The total energy comes out at -7.416 eV per atom. The crystal system is orthorhombic. As for the offset from the most stable computed form: 352 meV per atom.

Cell: 3.608 3.608 5.831 Å, 90.00 90.00 105.44°
Fractional coordinates of all 5 atoms:
Ti  0.000  0.000  0.241
Ti  0.000  0.000  0.759
Ni  0.312  0.688  0.500
Ni  0.688  0.312  0.500
Ir  0.500  0.500  0.000